*w*
The following is a DFT calculation (PBE-GGA) of an optimized crystal structure of ScCoPbAu.

Properties
Volume = 18.25 Å³/atom

a = 6.635 Å, b = 6.635 Å, c = 6.635 Å
α = 90.00°, β = 90.00°, γ = 90.00°
Space group F-43m (No. 216)
Symmetry-distinct sites (fractional):
Sc1 0.000 0.000 0.000 [4 per cell]
Co1 0.000 0.000 0.500 [4 per cell]
Pb1 0.250 0.250 0.250 [4 per cell]
Au1 0.250 0.250 0.750 [4 per cell]

=====

*x*
The following is a DFT calculation (PBE-GGA) of an optimized crystal structure of ScCoPbAu.

Properties
Volume = 18.53 Å³/atom

a = 6.669 Å, b = 6.669 Å, c = 6.669 Å
α = 90.00°, β = 90.00°, γ = 90.00°
Space group F-43m (No. 216)
Symmetry-distinct sites (fractional):
Sc1 0.000 0.000 0.000 [4 per cell]
Co1 0.250 0.250 0.750 [4 per cell]
Pb1 0.000 0.000 0.500 [4 per cell]
Au1 0.250 0.250 0.250 [4 per cell]

=====

Result of the stability comparison: *x* is the most stable of them.